Rb2IrPd: optimized geometry, GGA-PBE.

It has space group I-42d (No. 122), with a = 12.497 Å, b = 12.497 Å, c = 4.831 Å, α = 90.00°, β = 90.00° and γ = 90.00°. The inequivalent atoms are Rb at (0.053, 0.250, 0.125), Ir at (0.000, 0.000, 0.500) and Pd at (0.000, 0.000, 0.000).

The energy relative to the lowest polymorph listed for this composition comes out at 0.000 eV/atom.

RbIrPd2Ru: optimized geometry, GGA-PBE.

It has space group P4/mmm (No. 123), with a = 4.837 Å, b = 4.837 Å, c = 5.132 Å, α = 90.00°, β = 90.00° and γ = 90.00°. The inequivalent atoms are Rb at (0.000, 0.000, 0.000), Ir at (0.500, 0.500, 0.000), Pd at (0.000, 0.500, 0.500) and Ru at (0.000, 0.000, 0.500).

The total energy comes out at -19.64 eV per cell.

RbIrPdSe2: optimized geometry, GGA-PBE.

It has space group P4/mmm (No. 123), with a = 5.866 Å, b = 5.866 Å, c = 5.156 Å, α = 90.00°, β = 90.00° and γ = 90.00°. The inequivalent atoms are Rb at (0.000, 0.000, 0.000), Ir at (0.000, 0.000, 0.500), Pd at (0.500, 0.500, 0.500) and Se at (0.000, 0.500, 0.000).

For the raw formation energy, the calculation gives 211.4 kJ per mole of atoms.

RbIrPdW2: optimized geometry, GGA-PBE.

It has space group P4/mmm (No. 123), with a = 4.788 Å, b = 4.788 Å, c = 6.050 Å, α = 90.00°, β = 90.00° and γ = 90.00°. The inequivalent atoms are Rb at (0.000, 0.000, 0.000), Ir at (0.000, 0.000, 0.500), Pd at (0.500, 0.500, 0.000) and W at (0.000, 0.500, 0.500).

The total energy comes out at -31.03 eV per cell.

RbYIr2Pd: optimized geometry, GGA-PBE.

It has space group P4/mmm (No. 123), with a = 5.069 Å, b = 5.069 Å, c = 5.049 Å, α = 90.00°, β = 90.00° and γ = 90.00°. The inequivalent atoms are Rb at (0.000, 0.000, 0.000), Y at (0.500, 0.500, 0.000), Ir at (0.000, 0.500, 0.500) and Pd at (0.500, 0.500, 0.500).

The total energy comes out at -25.98 eV per cell.

ReIr2Pd: optimized geometry, GGA-PBE.

It has space group I-42d (No. 122), with a = 7.096 Å, b = 7.096 Å, c = 5.362 Å, α = 90.00°, β = 90.00° and γ = 90.00°. The inequivalent atoms are Re at (0.000, 0.000, 0.000), Ir at (0.213, 0.250, 0.125) and Pd at (0.000, 0.000, 0.500).

The energy relative to the lowest polymorph listed for this composition comes out at 0.616 eV/atom.

Re2IrPd: optimized geometry, GGA-PBE.

It has space group Fm-3m (No. 225), with a = 6.236 Å, b = 6.236 Å, c = 6.236 Å, α = 90.00°, β = 90.00° and γ = 90.00°. The inequivalent atoms are Re at (0.250, 0.250, 0.250), Ir at (0.000, 0.000, 0.000) and Pd at (0.000, 0.000, 0.500).

The energy relative to the lowest polymorph listed for this composition comes out at 0.000 eV/atom.

Re2IrPd: optimized geometry, GGA-PBE.

It has space group I-42d (No. 122), with a = 7.128 Å, b = 7.128 Å, c = 5.268 Å, α = 90.00°, β = 90.00° and γ = 90.00°. The inequivalent atoms are Re at (0.220, 0.250, 0.125), Ir at (0.000, 0.000, 0.000) and Pd at (0.000, 0.000, 0.500).

The energy relative to the lowest polymorph listed for this composition comes out at 0.191 eV/atom.

| no. | total magnetic moment (μB per formula unit) | N(E_F) (states/eV per atom) |
| --- | --- | --- |
| 1 | 0.003 | 1.25 |
| 2 | 2.620 | 1.83 |
| 3 | 4.643 | 1.30 |
| 4 | 2.649 | 0.91 |
| 5 | 1.098 | 0.97 |
| 6 | 0.000 | 0.58 |
| 7 | 0.000 | 1.85 |
| 8 | 0.000 | 0.98 |